Record 1
The following is a DFT calculation (GGA-PBE) of an optimized crystal structure of KCrHg2.

Lattice parameters (Å, degrees): 7.568 7.568 7.568 90.00 90.00 90.00
Space group Fm-3m (No. 225)
Inequivalent atoms, fractional coordinates:
K 0.000 0.000 0.000
Cr 0.000 0.000 0.500
Hg 0.250 0.250 0.250

Values from the calculation:
- energy relative to the lowest polymorph listed for this composition (kJ per mole of atoms) = 10.8
- energy of formation (eV/atom) = 0.34
- calculated total energy (eV for the cell shown) = -39.81

---

Record 2
The following is a DFT calculation (GGA-PBE) of an optimized crystal structure of Li2LaBeAu4.

Lattice parameters (Å, degrees): 4.4166 4.4166 25.8507 90.00 90.00 120.00
Space group R-3m (No. 166, hexagonal axes)
Inequivalent atoms, fractional coordinates:
Li 0.0000 0.0000 0.2361
La 0.0000 0.0000 0.0000
Be 0.0000 0.0000 0.5000
Au 0.0000 0.0000 0.1357
Au 0.0000 0.0000 0.4056

Values from the calculation:
- energy of formation (eV/atom) = -0.52
- calculated total energy (eV for the cell shown) = -89.20

---

Record 3
The following is a DFT calculation (GGA-PBE) of an optimized crystal structure of RbInHg2Cl4.

Lattice parameters (Å, degrees): 6.504 7.582 7.865 65.06 68.68 82.64
Space group P1 (No. 1)
Inequivalent atoms, fractional coordinates:
Rb 0.000 0.000 0.000
In 0.710 0.657 0.800
Hg 0.416 0.335 0.499
Hg 0.971 0.317 0.371
Cl 0.080 0.680 0.787
Cl 0.500 0.821 0.011
Cl 0.597 0.322 0.950
Cl 0.684 0.815 0.475

Values from the calculation:
- uncorrected formation energy (eV per atom) = -1.02
- calculated total energy (eV for the cell shown) = -19.85

---

Record 4
The following is a DFT calculation (GGA-PBE) of an optimized crystal structure of Ba3Al2Au7.

Lattice parameters (Å, degrees): 4.995 4.995 26.764 90.00 90.00 90.00
Space group I4/mmm (No. 139)
Inequivalent atoms, fractional coordinates:
Ba 0.000 0.000 0.000
Ba 0.000 0.000 0.174
Al 0.000 0.000 0.398
Au 0.000 0.000 0.302
Au 0.000 0.000 0.500
Au 0.000 0.500 0.084

Values from the calculation:
- energy of formation (eV/atom) = -0.57
- calculated total energy (eV for the cell shown) = -86.02

---

Record 5
The following is a DFT calculation (GGA-PBE) of an optimized crystal structure of Na2PuAsSe4.

Lattice parameters (Å, degrees): 7.141 4.110 7.331 90.00 109.02 90.00
Space group P2/m (No. 10)
Inequivalent atoms, fractional coordinates:
Na 0.000 0.000 0.000
Na 0.500 0.500 0.000
Pu 0.000 0.500 0.500
As 0.500 0.000 0.500
Se 0.255 0.000 0.726
Se 0.273 0.500 0.280

Values from the calculation:
- uncorrected formation energy (eV per atom) = -0.93
- calculated total energy (eV for the cell shown) = -42.96

---

Record 6
The following is a DFT calculation (GGA-PBE) of an optimized crystal structure of TlIrRh2.

Lattice parameters (Å, degrees): 3.346 3.346 5.883 90.00 90.00 90.00
Space group P4mm (No. 99)
Inequivalent atoms, fractional coordinates:
Tl 0.000 0.000 0.000
Ir 0.500 0.500 0.287
Rh 0.000 0.000 0.497
Rh 0.500 0.500 0.741

Values from the calculation:
- energy relative to the lowest polymorph listed for this composition (kJ per mole of atoms) = 15.9
- energy of formation (eV/atom) = 0.36
- calculated total energy (eV for the cell shown) = -24.48

---

Record 7
The following is a DFT calculation (GGA-PBE) of an optimized crystal structure of Th2TlPd8.

Lattice parameters (Å, degrees): 4.957 5.975 14.608 90.00 90.00 90.00
Space group Immm (No. 71)
Inequivalent atoms, fractional coordinates:
Th 0.000 0.000 0.179
Tl 0.000 0.000 0.500
Pd 0.000 0.251 0.000
Pd 0.000 0.259 0.353
Pd 0.000 0.500 0.180

Values from the calculation:
- energy of formation (eV/atom) = -0.58
- calculated total energy (eV for the cell shown) = -130.18

---

Record 8
The following is a DFT calculation (GGA-PBE) of an optimized crystal structure of Ce4NdP5.

Lattice parameters (Å, degrees): 4.105 5.808 20.531 90.00 90.00 90.00
Space group Immm (No. 71)
Inequivalent atoms, fractional coordinates:
Ce 0.000 0.000 0.100
Ce 0.000 0.000 0.300
Nd 0.000 0.000 0.500
P 0.000 0.500 0.103
P 0.000 0.500 0.300
P 0.000 0.500 0.500

Values from the calculation:
- energy of formation (eV/atom) = -1.51
- calculated total energy (eV for the cell shown) = -141.23

---

Record 9
The following is a DFT calculation (GGA-PBE) of an optimized crystal structure of Pr2ErIn.

Lattice parameters (Å, degrees): 4.929 4.929 5.021 90.00 90.00 90.00
Space group P4/mmm (No. 123)
Inequivalent atoms, fractional coordinates:
Pr 0.000 0.500 0.000
Er 0.000 0.000 0.500
In 0.500 0.500 0.500

Values from the calculation:
- energy relative to the lowest polymorph listed for this composition (kJ per mole of atoms) = 0.0
- energy of formation (eV/atom) = -0.27
- calculated total energy (eV for the cell shown) = -17.92

---

Record 10
The following is a DFT calculation (GGA-PBE) of an optimized crystal structure of La2Cu3Pd.

Lattice parameters (Å, degrees): 3.864 4.372 7.616 90.00 90.00 90.00
Space group Pmm2 (No. 25)
Inequivalent atoms, fractional coordinates:
La 0.000 0.000 0.000
La 0.000 0.500 0.493
Cu 0.500 0.000 0.674
Cu 0.500 0.500 0.151
Cu 0.500 0.500 0.827
Pd 0.500 0.000 0.334

Values from the calculation:
- energy relative to the lowest polymorph listed for this composition (kJ per mole of atoms) = 0.2
- energy of formation (eV/atom) = -0.40
- calculated total energy (eV for the cell shown) = -29.71

---

Record 11
The following is a DFT calculation (GGA-PBE) of an optimized crystal structure of BaMnIn4.

Lattice parameters (Å, degrees): 8.821 8.821 8.821 90.00 90.00 90.00
Space group F-43m (No. 216)
Inequivalent atoms, fractional coordinates:
Ba 0.000 0.000 0.000
Mn 0.250 0.250 0.250
In 0.125 0.125 0.625

Values from the calculation:
- energy of formation (eV/atom) = 0.12
- calculated total energy (eV for the cell shown) = -85.40

---

Record 12
The following is a DFT calculation (GGA-PBE) of an optimized crystal structure of RhF.

Lattice parameters (Å, degrees): 6.886 7.316 8.961 90.00 90.00 90.00
Space group Fddd (No. 70, origin choice 2)
Inequivalent atoms, fractional coordinates:
Rh 0.049 0.375 0.375
F 0.125 0.125 0.480

Values from the calculation:
- uncorrected formation energy (eV per atom) = -0.34
- energy relative to the lowest polymorph listed for this composition (kJ per mole of atoms) = 30.9
- calculated total energy (eV for the cell shown) = -158.33